The following is a DFT calculation (GGA-PBE) of a relaxed structure of Y3TaAg.

Computed properties:
Energy of formation from the pure elements (meV per atom): 933
E_tot (eV per atom): -5.89

a = 5.411 Å, b = 5.411 Å, c = 5.411 Å
α = 90.00°, β = 90.00°, γ = 90.00°
Element x y z (fractional)
Y: 0.000 0.000 0.500
Y: 0.000 0.500 0.000
Y: 0.500 0.000 0.000
Ta: 0.500 0.500 0.500
Ag: 0.000 0.000 0.000